No. 1
Below is a geometry-optimized TcPdRu structure, with properties calculated at the PBE-GGA level.

**Space-group type**: No. 129
**Formation energy**: 0.2634 eV/atom
**Raw total energy**: -8.0148 eV per atom
**Theoretical density**: 11.36 Mg/m³

a b c (Å): 3.2454 3.2454 8.4798
angles (deg): 90.00 90.00 90.00
Closest atoms and distances in Å follow each position.
Fractional positions:
Tc 0.2500 0.2500 0.2333  5 Ru 2.62-2.70, 4 Pd 2.75
Tc 0.7500 0.7500 0.7667  5 Ru 2.62-2.70, 4 Pd 2.75
Pd 0.2500 0.2500 0.5889  4 Pd 2.75, 5 Tc 2.75-3.02, 1 Ru 2.77
Pd 0.7500 0.7500 0.4111  4 Pd 2.75, 5 Tc 2.75-3.02, 1 Ru 2.77
Ru 0.2500 0.2500 0.9152  5 Tc 2.62-2.70, 4 Ru 2.71, 1 Pd 2.77
Ru 0.7500 0.7500 0.0848  5 Tc 2.62-2.70, 4 Ru 2.71, 1 Pd 2.77



No. 2
Below is a geometry-optimized TcPd2Ru2 structure, with properties calculated at the PBE-GGA level.

**Space-group type**: No. 139
**Formation energy**: 0.7527 eV/atom
**Raw total energy**: -7.1079 eV per atom
**Theoretical density**: 10.42 Mg/m³

a b c (Å): 7.1803 7.1803 7.1803
angles (deg): 151.94 151.94 40.10
Closest atoms and distances in Å follow each position.
Fractional positions:
Tc 0.0000 0.0000 0.0000  8 Pd 2.79
Pd 0.4030 0.4030 0.0000  1 Pd 2.62, 4 Ru 2.70, 4 Tc 2.79
Pd 0.5970 0.5970 0.0000  1 Pd 2.62, 4 Ru 2.70, 4 Tc 2.79
Ru 0.2500 0.7500 0.5000  4 Ru 2.46, 4 Pd 2.70
Ru 0.7500 0.2500 0.5000  4 Ru 2.46, 4 Pd 2.70



No. 3
Below is a geometry-optimized TcPdRu2 structure, with properties calculated at the PBE-GGA level.

**Space-group type**: No. 123
**Formation energy**: 0.1588 eV/atom
**Raw total energy**: -8.3688 eV per atom
**Theoretical density**: 11.79 Mg/m³

a b c (Å): 3.8820 3.8820 3.8002
angles (deg): 90.00 90.00 90.00
Closest atoms and distances in Å follow each position.
Fractional positions:
Tc 0.0000 0.0000 0.0000  8 Ru 2.72, 4 Pd 2.74
Pd 0.5000 0.5000 0.0000  8 Ru 2.72, 4 Tc 2.74
Ru 0.0000 0.5000 0.5000  4 Tc 2.72, 4 Pd 2.72, 4 Ru 2.74
Ru 0.5000 0.0000 0.5000  4 Tc 2.72, 4 Pd 2.72, 4 Ru 2.74



no.,polymorph energy (0 for the lowest one) (meV per atom)
1,226.1
2,161.5
3,79.5